1.
9
Lattice="4.3283 0.0000 0.0000 0.0000 4.3283 0.0000 0.0000 0.0000 10.4206" Properties=species:S:1:pos:R:3 comment="AcMg6Ni2 | Alexandria | GGA-PBE | relaxed" energy_ev_per_atom=-2.9168 formation_enthalpy_0k_ev_per_atom=-0.112 pbc="T T T"
Ac 0.0000 0.0000 0.0000
Mg 0.0000 0.0000 5.2103
Mg 0.0000 2.1641 2.8506
Mg 0.0000 2.1641 7.5700
Mg 2.1641 0.0000 2.8506
Mg 2.1641 0.0000 7.5700
Mg 2.1641 2.1641 5.2103
Ni 2.1641 2.1641 1.1975
Ni 2.1641 2.1641 9.2231

2.
4
Lattice="0.0000 3.4153 3.4153 3.4153 0.0000 3.4153 3.4153 3.4153 0.0000" Properties=species:S:1:pos:R:3 comment="Te2MoP | Alexandria | GGA-PBE | relaxed" raw_formation_energy_ev_per_atom=0.721 energy_ev_per_atom=-4.9104 pbc="T T T"
Te 0.0000 0.0000 0.0000
Te 1.7077 1.7077 1.7077
Mo 3.4153 3.4153 3.4153
P 5.1230 5.1230 5.1230

| no. | density (g/cm³) |
| --- | --- |
| 1 | 4.17 |
| 2 | 7.96 |